# 1
Entry from the Alexandria database: a PBEsol-optimized structure of CaTi2F10 (SCAN).

## Properties
magnetization = 0.00 Bohr magnetons per cell

The structure in POSCAR format:
```
CaTi2F10
1.0
4.5253 -3.2753 0.0000
4.5253 3.2753 0.0000
-3.4986 0.0000 6.9072
Ca Ti F
1 2 10
Direct
0.0000 0.0000 0.0000 Ca
0.5291 0.4528 0.7426 Ti
0.5472 0.4709 0.2574 Ti
0.2533 0.7192 0.8067 F
0.2808 0.7467 0.1933 F
0.2883 0.2616 0.1397 F
0.3257 0.2185 0.6175 F
0.4989 0.5011 0.5000 F
0.5980 0.4020 0.0000 F
0.7384 0.7117 0.8603 F
0.7815 0.6743 0.3825 F
0.8035 0.1651 0.2477 F
0.8349 0.1965 0.7523 F
```

---

# 2
Entry from the Alexandria database: a PBEsol-optimized structure of CaTiF6 (SCAN).

## Properties
magnetization = 0.00 Bohr magnetons per cell

The structure in POSCAR format:
```
CaTiF6
1.0
0.0000 4.1125 4.1125
4.1125 0.0000 4.1125
4.1125 4.1125 0.0000
Ca Ti F
1 1 6
Direct
0.0000 0.0000 0.0000 Ca
0.5000 0.5000 0.5000 Ti
0.2724 0.2724 0.7276 F
0.2724 0.7276 0.2724 F
0.2724 0.7276 0.7276 F
0.7276 0.2724 0.2724 F
0.7276 0.2724 0.7276 F
0.7276 0.7276 0.2724 F
```

---

# 3
Entry from the Alexandria database: a PBEsol-optimized structure of CaTl2F (SCAN).

## Properties
magnetization = 0.00 Bohr magnetons per cell

The structure in POSCAR format:
```
CaTl2F
1.0
7.2549 0.0000 0.0000
0.0000 7.2549 0.0000
0.0000 0.0000 7.2549
Ca Tl F
4 8 4
Direct
0.0000 0.0000 0.0000 Ca
0.0000 0.5000 0.5000 Ca
0.5000 0.0000 0.5000 Ca
0.5000 0.5000 0.0000 Ca
0.2500 0.2500 0.2500 Tl
0.2500 0.2500 0.7500 Tl
0.2500 0.7500 0.2500 Tl
0.2500 0.7500 0.7500 Tl
0.7500 0.2500 0.2500 Tl
0.7500 0.2500 0.7500 Tl
0.7500 0.7500 0.2500 Tl
0.7500 0.7500 0.7500 Tl
0.0000 0.0000 0.5000 F
0.0000 0.5000 0.0000 F
0.5000 0.0000 0.0000 F
0.5000 0.5000 0.5000 F
```

---

# 4
Entry from the Alexandria database: a PBEsol-optimized structure of Ca2TlF2 (SCAN).

## Properties
magnetization = 0.00 Bohr magnetons per cell

The structure in POSCAR format:
```
Ca2TlF2
1.0
3.7336 0.0000 0.0000
0.0000 3.7336 0.0000
0.0000 0.0000 14.3922
Ca Tl F
4 2 4
Direct
0.0000 0.0000 0.1569 Ca
0.0000 0.0000 0.8431 Ca
0.5000 0.5000 0.3431 Ca
0.5000 0.5000 0.6569 Ca
0.0000 0.0000 0.5000 Tl
0.5000 0.5000 0.0000 Tl
0.0000 0.5000 0.2500 F
0.0000 0.5000 0.7500 F
0.5000 0.0000 0.2500 F
0.5000 0.0000 0.7500 F
```

---

# 5
Entry from the Alexandria database: a PBEsol-optimized structure of CaWF6 (SCAN).

## Properties
magnetization = 2.00 Bohr magnetons per cell

The structure in POSCAR format:
```
CaWF6
1.0
2.9262 1.6894 4.8740
-2.9262 1.6894 4.8740
0.0000 -3.3789 4.8740
Ca W F
1 1 6
Direct
0.0000 0.0000 0.0000 Ca
0.5000 0.5000 0.5000 W
0.2153 0.3171 0.7332 F
0.2668 0.7847 0.6829 F
0.3171 0.7332 0.2153 F
0.6829 0.2668 0.7847 F
0.7332 0.2153 0.3171 F
0.7847 0.6829 0.2668 F
```

---

# 6
Entry from the Alexandria database: a PBEsol-optimized structure of CaWF2 (SCAN).

## Properties
magnetization = 23.27 Bohr magnetons per cell

The structure in POSCAR format:
```
CaWF2
1.0
6.4482 0.0000 0.0000
0.0000 6.4482 0.0000
0.0000 0.0000 6.4482
Ca W F
4 4 8
Direct
0.0000 0.0000 0.0000 Ca
0.0000 0.5000 0.5000 Ca
0.5000 0.0000 0.5000 Ca
0.5000 0.5000 0.0000 Ca
0.0000 0.0000 0.5000 W
0.0000 0.5000 0.0000 W
0.5000 0.0000 0.0000 W
0.5000 0.5000 0.5000 W
0.2500 0.2500 0.2500 F
0.2500 0.2500 0.7500 F
0.2500 0.7500 0.2500 F
0.2500 0.7500 0.7500 F
0.7500 0.2500 0.2500 F
0.7500 0.2500 0.7500 F
0.7500 0.7500 0.2500 F
0.7500 0.7500 0.7500 F
```

---

# 7
Entry from the Alexandria database: a PBEsol-optimized structure of CaWF3 (SCAN).

## Properties
magnetization = 5.00 Bohr magnetons per cell

The structure in POSCAR format:
```
CaWF3
1.0
4.3599 0.0000 0.0000
0.0000 4.3599 0.0000
0.0000 0.0000 4.3599
Ca W F
1 1 3
Direct
0.0000 0.0000 0.0000 Ca
0.5000 0.5000 0.5000 W
0.0000 0.0000 0.5000 F
0.0000 0.5000 0.0000 F
0.5000 0.0000 0.0000 F
```

---

# 8
Entry from the Alexandria database: a PBEsol-optimized structure of Ca3WF (SCAN).

## Properties
magnetization = 2.81 Bohr magnetons per cell

The structure in POSCAR format:
```
Ca3WF
1.0
4.7812 0.0000 0.0000
0.0000 4.7812 0.0000
0.0000 0.0000 4.7812
Ca W F
3 1 1
Direct
0.0000 0.0000 0.5000 Ca
0.0000 0.5000 0.0000 Ca
0.5000 0.0000 0.0000 Ca
0.5000 0.5000 0.5000 W
0.0000 0.0000 0.0000 F
```

---

| no. | calculated total energy (eV/atom) |
| --- | --- |
| 1 | -9.618 |
| 2 | -9.704 |
| 3 | -40.138 |
| 4 | -22.432 |
| 5 | -15.662 |
| 6 | -22.073 |
| 7 | -19.430 |
| 8 | -20.797 |